[1]
Entry from Alexandria: a relaxed RbNaRh3 crystal (PBE-GGA).

Unit cell a=4.9845 b=4.9845 c=4.9845 alpha=90.00 beta=90.00 gamma=90.00
With the nearest neighbours (Å) after each atom.
Atoms (fractional coordinates):
Rb  0.0000  0.0000  0.0000  6 Rh 2.49
Na  0.5000  0.5000  0.5000  12 Rh 3.52
Rh  0.0000  0.0000  0.5000  2 Rb 2.49
Rh  0.0000  0.5000  0.0000  2 Rb 2.49
Rh  0.5000  0.0000  0.0000  2 Rb 2.49

- formation enthalpy at 0 K (kJ per mole of atoms) = 192
- V (Å³/atom) = 24.8
- total moment (μB per cell) = 2.11
- uncorrected energy (eV per cell) = -14.41

=====

[2]
Entry from Alexandria: a relaxed La3Mg4In4 crystal (PBE-GGA).

Unit cell a=9.2514 b=9.2514 c=9.2514 alpha=149.45 beta=130.69 gamma=59.12
With the nearest neighbours (Å) after each atom.
Atoms (fractional coordinates):
La  0.0000  0.0000  0.0000  6 In 3.41-3.50
La  0.3761  0.8761  0.5000  6 Mg 3.48-3.63, 6 In 3.48-3.53
La  0.6239  0.1239  0.5000  6 Mg 3.48-3.63, 6 In 3.48-3.53
Mg  0.0231  0.3294  0.6937  4 In 2.89-2.97, 1 Mg 2.99
Mg  0.3643  0.6706  0.6937  4 In 2.89-2.97, 1 Mg 2.99
Mg  0.6357  0.3294  0.3063  4 In 2.89-2.97, 1 Mg 2.99
Mg  0.9769  0.6706  0.3063  4 In 2.89-2.97, 1 Mg 2.99
In  0.2173  0.2173  0.0000  6 Mg 2.96-2.97
In  0.3085  0.5000  0.8085  2 Mg 2.89, 1 In 2.96
In  0.6915  0.5000  0.1915  2 Mg 2.89, 1 In 2.96
In  0.7827  0.7827  0.0000  6 Mg 2.96-2.97

- formation enthalpy at 0 K (kJ per mole of atoms) = -39
- V (Å³/atom) = 27.5
- total moment (μB per cell) = 0.00
- uncorrected energy (eV per cell) = -36.60

=====

[3]
Entry from Alexandria: a relaxed Be2CdGa crystal (PBE-GGA).

Unit cell a=6.1077 b=6.1077 c=6.1077 alpha=90.00 beta=90.00 gamma=90.00
With the nearest neighbours (Å) after each atom.
Atoms (fractional coordinates):
Be  0.2500  0.2500  0.2500  4 Cd 2.64, 4 Ga 2.64
Be  0.2500  0.2500  0.7500  4 Cd 2.64, 4 Ga 2.64
Be  0.2500  0.7500  0.2500  4 Cd 2.64, 4 Ga 2.64
Be  0.2500  0.7500  0.7500  4 Cd 2.64, 4 Ga 2.64
Be  0.7500  0.2500  0.2500  4 Cd 2.64, 4 Ga 2.64
Be  0.7500  0.2500  0.7500  4 Cd 2.64, 4 Ga 2.64
Be  0.7500  0.7500  0.2500  4 Cd 2.64, 4 Ga 2.64
Be  0.7500  0.7500  0.7500  4 Cd 2.64, 4 Ga 2.64
Cd  0.0000  0.0000  0.0000  8 Be 2.64
Cd  0.0000  0.5000  0.5000  8 Be 2.64
Cd  0.5000  0.0000  0.5000  8 Be 2.64
Cd  0.5000  0.5000  0.0000  8 Be 2.64
Ga  0.0000  0.0000  0.5000  8 Be 2.64
Ga  0.0000  0.5000  0.0000  8 Be 2.64
Ga  0.5000  0.0000  0.0000  8 Be 2.64
Ga  0.5000  0.5000  0.5000  8 Be 2.64

- formation enthalpy at 0 K (kJ per mole of atoms) = 52
- V (Å³/atom) = 14.2
- total moment (μB per cell) = 0.00
- uncorrected energy (eV per cell) = -37.02

=====

[4]
Entry from Alexandria: a relaxed Ta3SiMo crystal (PBE-GGA).

Unit cell a=4.8031 b=4.8031 c=4.8031 alpha=90.00 beta=90.00 gamma=90.00
With the nearest neighbours (Å) after each atom.
Atoms (fractional coordinates):
Ta  0.0000  0.0000  0.5000  2 Mo 2.40
Ta  0.0000  0.5000  0.0000  2 Mo 2.40
Ta  0.5000  0.0000  0.0000  2 Mo 2.40
Si  0.5000  0.5000  0.5000  12 Ta 3.40
Mo  0.0000  0.0000  0.0000  6 Ta 2.40

- V (Å³/atom) = 22.2
- total moment (μB per cell) = 0.00
- uncorrected energy (eV per cell) = -44.23
- formation energy without anion corrections (eV per formula unit) = 7.6

=====

[5]
Entry from Alexandria: a relaxed Be2NbTcPt crystal (PBE-GGA).

Unit cell a=4.2041 b=4.2041 c=4.6658 alpha=90.00 beta=90.00 gamma=90.00
With the nearest neighbours (Å) after each atom.
Atoms (fractional coordinates):
Be  0.0000  0.5000  0.0000  2 Tc 2.10
Be  0.5000  0.0000  0.0000  2 Tc 2.10
Nb  0.0000  0.0000  0.5000  2 Tc 2.33
Tc  0.0000  0.0000  0.0000  4 Be 2.10, 2 Nb 2.33
Pt  0.5000  0.5000  0.5000  4 Nb 2.97, 8 Be 3.14

- formation enthalpy at 0 K (kJ per mole of atoms) = 82
- V (Å³/atom) = 16.5
- total moment (μB per cell) = 0.00
- uncorrected energy (eV per cell) = -29.67

=====

[6]
Entry from Alexandria: a relaxed SrCaHgBi crystal (PBE-GGA).

Unit cell a=8.0159 b=8.0159 c=8.0159 alpha=90.00 beta=90.00 gamma=90.00
With the nearest neighbours (Å) after each atom.
Atoms (fractional coordinates):
Sr  0.0000  0.0000  0.0000  4 Hg 3.47, 4 Bi 3.47
Sr  0.0000  0.5000  0.5000  4 Hg 3.47, 4 Bi 3.47
Sr  0.5000  0.0000  0.5000  4 Hg 3.47, 4 Bi 3.47
Sr  0.5000  0.5000  0.0000  4 Hg 3.47, 4 Bi 3.47
Ca  0.0000  0.0000  0.5000  4 Hg 3.47, 4 Bi 3.47
Ca  0.0000  0.5000  0.0000  4 Hg 3.47, 4 Bi 3.47
Ca  0.5000  0.0000  0.0000  4 Hg 3.47, 4 Bi 3.47
Ca  0.5000  0.5000  0.5000  4 Hg 3.47, 4 Bi 3.47
Hg  0.2500  0.2500  0.7500  4 Ca 3.47, 4 Sr 3.47
Hg  0.2500  0.7500  0.2500  4 Ca 3.47, 4 Sr 3.47
Hg  0.7500  0.2500  0.2500  4 Ca 3.47, 4 Sr 3.47
Hg  0.7500  0.7500  0.7500  4 Ca 3.47, 4 Sr 3.47
Bi  0.2500  0.2500  0.2500  4 Ca 3.47, 4 Sr 3.47
Bi  0.2500  0.7500  0.7500  4 Ca 3.47, 4 Sr 3.47
Bi  0.7500  0.2500  0.7500  4 Ca 3.47, 4 Sr 3.47
Bi  0.7500  0.7500  0.2500  4 Ca 3.47, 4 Sr 3.47

- formation enthalpy at 0 K (kJ per mole of atoms) = -66
- V (Å³/atom) = 32.2
- total moment (μB per cell) = 0.00
- uncorrected energy (eV per cell) = -42.34

=====

[7]
Entry from Alexandria: a relaxed Y2Zn2O crystal (PBE-GGA).

Unit cell a=3.3929 b=3.3929 c=16.2724 alpha=90.00 beta=90.00 gamma=90.00
With the nearest neighbours (Å) after each atom.
Atoms (fractional coordinates):
Y  0.0000  0.0000  0.0921  4 O 2.83, 1 Y 3.00, 4 Zn 3.08
Y  0.0000  0.0000  0.9079  4 O 2.83, 1 Y 3.00, 4 Zn 3.08
Y  0.5000  0.5000  0.4079  4 O 2.83, 1 Y 3.00, 4 Zn 3.08
Y  0.5000  0.5000  0.5921  4 O 2.83, 1 Y 3.00, 4 Zn 3.08
Zn  0.0000  0.5000  0.2500  4 Zn 2.40
Zn  0.0000  0.5000  0.7500  4 Zn 2.40
Zn  0.5000  0.0000  0.2500  4 Zn 2.40
Zn  0.5000  0.0000  0.7500  4 Zn 2.40
O  0.0000  0.0000  0.5000  8 Y 2.83
O  0.5000  0.5000  0.0000  8 Y 2.83

- V (Å³/atom) = 18.7
- total moment (μB per cell) = 1.68
- uncorrected energy (eV per cell) = -46.72
- formation energy without anion corrections (eV per formula unit) = -2.9

=====

[8]
Entry from Alexandria: a relaxed GaFeAu2 crystal (PBE-GGA).

Unit cell a=2.8259 b=2.8259 c=30.2903 alpha=90.00 beta=90.00 gamma=120.00
With the nearest neighbours (Å) after each atom.
Atoms (fractional coordinates):
Ga  0.0000  0.0000  0.0000  6 Ga 2.83, 6 Au 2.96
Ga  0.3333  0.6667  0.6667  6 Ga 2.83, 6 Au 2.96
Ga  0.6667  0.3333  0.3333  6 Ga 2.83, 6 Au 2.96
Fe  0.0000  0.0000  0.5000  2 Au 2.57, 6 Fe 2.83
Fe  0.3333  0.6667  0.1667  2 Au 2.57, 6 Fe 2.83
Fe  0.6667  0.3333  0.8333  2 Au 2.57, 6 Fe 2.83
Au  0.0000  0.0000  0.4150  1 Fe 2.57, 6 Au 2.83
Au  0.0000  0.0000  0.5850  1 Fe 2.57, 6 Au 2.83
Au  0.3333  0.6667  0.0817  1 Fe 2.57, 6 Au 2.83
Au  0.3333  0.6667  0.2516  1 Fe 2.57, 6 Au 2.83
Au  0.6667  0.3333  0.7484  1 Fe 2.57, 6 Au 2.83
Au  0.6667  0.3333  0.9183  1 Fe 2.57, 6 Au 2.83

- formation enthalpy at 0 K (kJ per mole of atoms) = 28
- V (Å³/atom) = 17.5
- total moment (μB per cell) = 9.04
- uncorrected energy (eV per cell) = -50.71

=====

[9]
Entry from Alexandria: a relaxed YAuC crystal (PBE-GGA).

Unit cell a=3.6860 b=4.1161 c=8.7526 alpha=80.32 beta=77.91 gamma=63.57
With the nearest neighbours (Å) after each atom.
Atoms (fractional coordinates):
Y  0.0000  0.0000  0.0000  3 C 2.36-2.59
Y  0.4187  0.5043  0.6596  3 C 2.35-2.60
Au  0.2305  0.3123  0.2313  3 Au 2.83-2.84, 3 Y 3.00-3.08
Au  0.8390  0.8998  0.4250  3 Au 2.83-2.84, 3 Y 3.01-3.12, 1 C 3.16
C  0.6433  0.9197  0.7938  1 C 1.33
C  0.7726  0.5886  0.8676  1 C 1.33

- formation enthalpy at 0 K (kJ per mole of atoms) = -37
- V (Å³/atom) = 19.3
- total moment (μB per cell) = 0.00
- uncorrected energy (eV per cell) = -40.22

=====

[10]
Entry from Alexandria: a relaxed Cu2NiIr crystal (PBE-GGA).

Unit cell a=8.7102 b=2.5894 c=4.4834 alpha=90.00 beta=100.49 gamma=90.00
With the nearest neighbours (Å) after each atom.
Atoms (fractional coordinates):
Cu  0.2484  0.0000  0.2446  6 Cu 2.55-2.63, 3 Ni 2.59-2.62, 3 Ir 2.62-2.63
Cu  0.2516  0.5000  0.7554  6 Cu 2.55-2.63, 3 Ni 2.59-2.62, 3 Ir 2.62-2.63
Cu  0.7484  0.5000  0.2446  6 Cu 2.55-2.63, 3 Ni 2.59-2.62, 3 Ir 2.62-2.63
Cu  0.7516  0.0000  0.7554  6 Cu 2.55-2.63, 3 Ni 2.59-2.62, 3 Ir 2.62-2.63
Ni  0.0000  0.5000  0.0000  6 Cu 2.59-2.62, 4 Ir 2.59, 2 Ni 2.59
Ni  0.5000  0.0000  0.0000  6 Cu 2.59-2.62, 4 Ir 2.59, 2 Ni 2.59
Ir  0.0000  0.0000  0.5000  4 Ni 2.59, 2 Ir 2.59, 6 Cu 2.62-2.63
Ir  0.5000  0.5000  0.5000  4 Ni 2.59, 2 Ir 2.59, 6 Cu 2.62-2.63

- formation enthalpy at 0 K (kJ per mole of atoms) = 5
- V (Å³/atom) = 12.4
- total moment (μB per cell) = 0.00
- uncorrected energy (eV per cell) = -45.25

=====

[11]
Entry from Alexandria: a relaxed NdGd2I crystal (PBE-GGA).

Unit cell a=3.7947 b=3.7947 c=31.9240 alpha=90.00 beta=90.00 gamma=120.00
With the nearest neighbours (Å) after each atom.
Atoms (fractional coordinates):
Nd  0.0000  0.0000  0.0000  6 Gd 3.59, 6 Nd 3.79
Nd  0.3333  0.6667  0.6667  6 Gd 3.59, 6 Nd 3.79
Nd  0.6667  0.3333  0.3333  6 Gd 3.59, 6 Nd 3.79
Gd  0.0000  0.0000  0.2444  3 I 3.31, 3 Nd 3.59
Gd  0.0000  0.0000  0.7556  3 I 3.31, 3 Nd 3.59
Gd  0.3333  0.6667  0.4222  3 I 3.31, 3 Nd 3.59
Gd  0.3333  0.6667  0.9111  3 I 3.31, 3 Nd 3.59
Gd  0.6667  0.3333  0.0889  3 I 3.31, 3 Nd 3.59
Gd  0.6667  0.3333  0.5778  3 I 3.31, 3 Nd 3.59
I  0.0000  0.0000  0.5000  6 Gd 3.31
I  0.3333  0.6667  0.1667  6 Gd 3.31
I  0.6667  0.3333  0.8333  6 Gd 3.31

- V (Å³/atom) = 33.2
- total moment (μB per cell) = 43.22
- uncorrected energy (eV per cell) = -108.04
- formation energy without anion corrections (eV per formula unit) = -1.5

=====

[12]
Entry from Alexandria: a relaxed DyYErIn crystal (PBE-GGA).

Unit cell a=4.8242 b=4.8278 c=4.8564 alpha=90.00 beta=90.00 gamma=90.00
With the nearest neighbours (Å) after each atom.
Atoms (fractional coordinates):
Dy  0.0000  0.0000  0.0000  4 Er 3.41, 4 In 3.42, 4 Y 3.42
Y  0.0000  0.5000  0.5000  4 In 3.41, 4 Er 3.42, 4 Dy 3.42
Er  0.5000  0.5000  0.0000  4 Dy 3.41, 4 Y 3.42, 4 In 3.42
In  0.5000  0.0000  0.5000  4 Y 3.41, 4 Dy 3.42, 4 Er 3.42

- formation enthalpy at 0 K (kJ per mole of atoms) = -26
- V (Å³/atom) = 28.3
- total moment (μB per cell) = 0.00
- uncorrected energy (eV per cell) = -19.44